# Ni2IrBr, relaxed, DFT GGA-PBE
data_Ni2IrBr
_cell_length_a 2.824
_cell_length_b 4.918
_cell_length_c 8.497
_cell_angle_alpha 90.00
_cell_angle_beta 90.00
_cell_angle_gamma 90.00
_space_group_name_H-M_alt 'C m m m'
_space_group_IT_number 65
_space_group_name_Hall '-C 2 2'
loop_
_atom_site_label
_atom_site_type_symbol
_atom_site_fract_x
_atom_site_fract_y
_atom_site_fract_z
Ni1 Ni 0.000 0.000 0.243
Ir1 Ir 0.000 0.500 0.000
Br1 Br 0.000 0.500 0.500
# M_tot = 0.83 μB per formula unit
# Mass density = 10.96 g/cm3
# Uncorrected formation energy = 0.63 eV per atom
# Energy above the lowest structure with this stoichiometry = 1.05 eV per formula unit
# D(E_F) = 7.730 states/eV/f.u.

=====

# CaPmSeS, relaxed, DFT GGA-PBE
data_CaPmSeS
_cell_length_a 4.0766
_cell_length_b 4.0766
_cell_length_c 20.5182
_cell_angle_alpha 90.00
_cell_angle_beta 90.00
_cell_angle_gamma 120.00
_space_group_name_H-M_alt 'R 3 m'
_space_group_IT_number 160
_space_group_name_Hall 'R 3 -2"'
loop_
_atom_site_label
_atom_site_type_symbol
_atom_site_fract_x
_atom_site_fract_y
_atom_site_fract_z
Ca1 Ca 0.0000 0.0000 0.0000
Pm1 Pm 0.0000 0.0000 0.5084
Se1 Se 0.0000 0.0000 0.7531
S1 S 0.0000 0.0000 0.2559
# M_tot = 0.00 μB per formula unit
# Mass density = 5.00 g/cm3
# Uncorrected formation energy = -1.98 eV per atom
# D(E_F) = 1.446 states/eV/f.u.

=====

# Ac3Mg2Hg4, relaxed, DFT GGA-PBE
data_Ac3Mg2Hg4
_cell_length_a 12.889
_cell_length_b 4.897
_cell_length_c 9.515
_cell_angle_alpha 90.00
_cell_angle_beta 115.11
_cell_angle_gamma 90.00
_space_group_name_H-M_alt 'C 1 2/m 1'
_space_group_IT_number 12
loop_
_space_group_symop_operation_xyz
'x,y,z'
'-x,-y,-z'
'-x,y,-z'
'x,-y,z'
'x+1/2,y+1/2,z'
'-x+1/2,-y+1/2,-z'
'-x+1/2,y+1/2,-z'
'x+1/2,-y+1/2,z'
loop_
_atom_site_label
_atom_site_type_symbol
_atom_site_fract_x
_atom_site_fract_y
_atom_site_fract_z
Ac1 Ac 0.000 0.000 0.000
Ac2 Ac 0.126 0.500 0.695
Mg1 Mg 0.174 0.500 0.349
Hg1 Hg 0.083 0.000 0.407
Hg2 Hg 0.206 0.500 0.068
# M_tot = 0.00 μB per formula unit
# ΔH_f (0 K) = -0.397 eV/atom
# Mass density = 9.36 g/cm3
# D(E_F) = 8.686 states/eV/f.u.

=====

# Pm2AsRu, relaxed, DFT GGA-PBE
data_Pm2AsRu
_cell_length_a 7.162
_cell_length_b 7.162
_cell_length_c 7.162
_cell_angle_alpha 90.00
_cell_angle_beta 90.00
_cell_angle_gamma 90.00
_space_group_name_H-M_alt 'F m -3 m'
_space_group_IT_number 225
_space_group_name_Hall '-F 4 2 3'
loop_
_atom_site_label
_atom_site_type_symbol
_atom_site_fract_x
_atom_site_fract_y
_atom_site_fract_z
Pm1 Pm 0.250 0.250 0.250
As1 As 0.000 0.000 0.000
Ru1 Ru 0.000 0.000 0.500
# M_tot = 0.47 μB per formula unit
# ΔH_f (0 K) = -0.494 eV/atom
# Mass density = 8.43 g/cm3
# Energy above the lowest structure with this stoichiometry = 0.38 eV per formula unit
# D(E_F) = 2.602 states/eV/f.u.